--- w ---
This record from Alexandria describes Na3Ag2Te3 after structural relaxation. The functional is PBE.

Lattice parameters (Å, degrees): 6.4337 9.5193 15.6033 90.00 90.00 90.00
Last column: nearest neighbours and their distance in Å.
Positions (direct):
Na: 0.3890 0.6572 0.7500  3 Te 3.15-3.27
Na: 0.1665 0.4370 0.3952  5 Te 3.21-3.52, 2 Ag 3.22-3.24
Na: 0.1110 0.1572 0.7500  3 Te 3.15-3.27
Na: 0.6665 0.0630 0.6048  5 Te 3.21-3.52, 2 Ag 3.22-3.24
Na: 0.3335 0.9370 0.3952  5 Te 3.21-3.52, 2 Ag 3.22-3.24
Na: 0.1665 0.4370 0.1048  5 Te 3.21-3.52, 2 Ag 3.22-3.24
Na: 0.3335 0.9370 0.1048  5 Te 3.21-3.52, 2 Ag 3.22-3.24
Na: 0.6665 0.0630 0.8952  5 Te 3.21-3.52, 2 Ag 3.22-3.24
Na: 0.8335 0.5630 0.6048  5 Te 3.21-3.52, 2 Ag 3.22-3.24
Na: 0.8335 0.5630 0.8952  5 Te 3.21-3.52, 2 Ag 3.22-3.24
Na: 0.6110 0.3428 0.2500  3 Te 3.15-3.27
Na: 0.8890 0.8428 0.2500  3 Te 3.15-3.27
Te: 0.8362 0.8196 0.7500  2 Ag 2.78
Te: 0.8121 0.8660 0.4486  3 Ag 2.80-2.92
Te: 0.3121 0.6340 0.5514  3 Ag 2.80-2.92
Te: 0.1879 0.1340 0.9486  3 Ag 2.80-2.92
Te: 0.6638 0.3196 0.7500  2 Ag 2.78
Te: 0.3121 0.6340 0.9486  3 Ag 2.80-2.92
Te: 0.1638 0.1804 0.2500  2 Ag 2.78
Te: 0.8121 0.8660 0.0514  3 Ag 2.80-2.92
Te: 0.1879 0.1340 0.5514  3 Ag 2.80-2.92
Te: 0.3362 0.6804 0.2500  2 Ag 2.78
Te: 0.6879 0.3660 0.4486  3 Ag 2.80-2.92
Te: 0.6879 0.3660 0.0514  3 Ag 2.80-2.92
Ag: 0.0704 0.8637 0.6026  4 Te 2.78-2.92
Ag: 0.4296 0.3637 0.6026  4 Te 2.78-2.92
Ag: 0.4296 0.3637 0.8974  4 Te 2.78-2.92
Ag: 0.5704 0.6363 0.1026  4 Te 2.78-2.92
Ag: 0.9296 0.1363 0.3974  4 Te 2.78-2.92
Ag: 0.0704 0.8637 0.8974  4 Te 2.78-2.92
Ag: 0.5704 0.6363 0.3974  4 Te 2.78-2.92
Ag: 0.9296 0.1363 0.1026  4 Te 2.78-2.92

Output
The calculation puts the volume at 956 Å³ per cell. The density of states at the Fermi level is 0.47 states/eV/atom. Its space group is Pnma.

=====

--- x ---
This record from Alexandria describes Na3Ag2Te3 after structural relaxation. The functional is PBE.

Lattice parameters (Å, degrees): 4.6713 6.6380 15.6034 90.00 90.00 110.60
Last column: nearest neighbours and their distance in Å.
Positions (direct):
Ag: 0.7646 0.5293 0.6000  4 Te 2.81-2.96
Ag: 0.2354 0.4707 0.1000  4 Te 2.81-2.96
Ag: 0.7646 0.5293 0.9000  4 Te 2.81-2.96
Ag: 0.2354 0.4707 0.4000  4 Te 2.81-2.96
Na: 0.9267 0.8533 0.3909  6 Te 3.31-3.49, 2 Ag 3.34
Na: 0.3292 0.6584 0.7500  4 Te 3.15-3.32, 4 Ag 3.40
Na: 0.0733 0.1467 0.8909  6 Te 3.31-3.49, 2 Ag 3.34
Na: 0.0733 0.1467 0.6091  6 Te 3.31-3.49, 2 Ag 3.34
Na: 0.6708 0.3416 0.2500  4 Te 3.15-3.32, 4 Ag 3.40
Na: 0.9267 0.8533 0.1091  6 Te 3.31-3.49, 2 Ag 3.34
Te: 0.3778 0.7555 0.5519  3 Ag 2.83-2.96, 1 Na 3.15
Te: 0.6222 0.2445 0.4481  3 Ag 2.83-2.96, 1 Na 3.15
Te: 0.3608 0.7216 0.2500  2 Ag 2.81
Te: 0.6222 0.2445 0.0519  3 Ag 2.83-2.96, 1 Na 3.15
Te: 0.3778 0.7555 0.9481  3 Ag 2.83-2.96, 1 Na 3.15
Te: 0.6392 0.2784 0.7500  2 Ag 2.81

Output
The calculation puts the volume at 453 Å³ per cell. The density of states at the Fermi level is 0.38 states/eV/atom. Its space group is Cmcm.

=====

Stability summary - winner: x; margin: 7 meV per atom.

=====

--- w ---
This record from Alexandria describes Na2Ag2Te3 after structural relaxation. The functional is PBE.

Lattice parameters (Å, degrees): 4.6300 6.7629 7.6425 93.30 90.28 109.94
Last column: nearest neighbours and their distance in Å.
Positions (direct):
Ag: 0.3386 0.6756 0.0215  5 Te 2.87-3.11, 1 Ag 3.21
Ag: 0.6614 0.3244 0.9785  5 Te 2.87-3.11, 1 Ag 3.21
Te: 0.0000 0.0000 0.0000  2 Na 3.08, 4 Ag 3.11, 2 Te 3.14
Te: 0.1769 0.3586 0.7365  3 Ag 2.87-2.98, 3 Na 3.13-3.19, 1 Te 3.14
Te: 0.8231 0.6414 0.2635  3 Ag 2.87-2.98, 3 Na 3.13-3.19, 1 Te 3.14
Na: 0.8422 0.6904 0.6738  4 Te 3.08-3.19, 1 Ag 3.39
Na: 0.1578 0.3096 0.3262  4 Te 3.08-3.19, 1 Ag 3.39

Output
The calculation puts the volume at 225 Å³ per cell. The density of states at the Fermi level is 0.12 states/eV/atom. Its space group is P-1.

=====

--- x ---
This record from Alexandria describes Na2Ag2Te3 after structural relaxation. The functional is PBE.

Lattice parameters (Å, degrees): 4.7133 6.6886 12.7467 90.00 100.65 90.00
Last column: nearest neighbours and their distance in Å.
Positions (direct):
Te: 0.4217 0.9860 0.8434  1 Ag 2.77
Te: 0.5783 0.4860 0.1566  1 Ag 2.77
Te: 0.4217 0.5140 0.8434  1 Ag 2.77
Te: 0.7714 0.2500 0.5427  6 Ag 2.82-2.95
Te: 0.5783 0.0140 0.1566  1 Ag 2.77
Te: 0.2286 0.7500 0.4573  6 Ag 2.82-2.95
Na: 0.8566 0.7500 0.7132  4 Ag 3.23, 4 Te 3.27
Na: 0.9805 0.2500 0.9611  4 Te 3.29, 2 Na 3.48
Na: 0.0195 0.7500 0.0389  4 Te 3.29, 2 Na 3.48
Na: 0.1434 0.2500 0.2868  4 Ag 3.23, 4 Te 3.27
Ag: 0.3120 0.0340 0.6241  4 Te 2.77-2.95, 1 Ag 2.89
Ag: 0.3120 0.4660 0.6241  4 Te 2.77-2.95, 1 Ag 2.89
Ag: 0.6880 0.5340 0.3759  4 Te 2.77-2.95, 1 Ag 2.89
Ag: 0.6880 0.9660 0.3759  4 Te 2.77-2.95, 1 Ag 2.89

Output
The calculation puts the volume at 395 Å³ per cell. The density of states at the Fermi level is 0.44 states/eV/atom. Its space group is Cmcm.

=====

Stability summary - winner: x; margin: 31 meV per atom.

=====

--- w ---
This record from Alexandria describes Na3AgTe after structural relaxation. The functional is PBE.

Lattice parameters (Å, degrees): 5.4551 5.4551 5.4551 90.00 90.00 90.00
Last column: nearest neighbours and their distance in Å.
Positions (direct):
Ag: 0.0000 0.0000 0.0000  6 Na 2.73
Na: 0.0000 0.5000 0.0000  2 Ag 2.73
Na: 0.0000 0.0000 0.5000  2 Ag 2.73
Na: 0.5000 0.0000 0.0000  2 Ag 2.73
Te: 0.5000 0.5000 0.5000  12 Na 3.86

Output
The calculation puts the volume at 162 Å³ per cell. The density of states at the Fermi level is 0.00 states/eV/atom. Its space group is Pm-3m.

=====

--- x ---
This record from Alexandria describes Na3AgTe after structural relaxation. The functional is PBE.

Lattice parameters (Å, degrees): 5.8574 5.8574 5.8574 90.00 90.00 90.00
Last column: nearest neighbours and their distance in Å.
Positions (direct):
Na: 0.0000 0.5000 0.0000  2 Te 2.93
Na: 0.0000 0.0000 0.5000  2 Te 2.93
Na: 0.5000 0.0000 0.0000  2 Te 2.93
Te: 0.0000 0.0000 0.0000  6 Na 2.93
Ag: 0.5000 0.5000 0.5000  12 Na 4.14

Output
The calculation puts the volume at 201 Å³ per cell. The density of states at the Fermi level is 0.00 states/eV/atom. Its space group is Pm-3m.

=====

Stability summary - winner: x; margin: 106 meV per atom.

=====

--- w ---
This record from Alexandria describes NaTi2Ag after structural relaxation. The functional is PBE.

Lattice parameters (Å, degrees): 3.8016 3.8016 11.2059 80.23 80.23 90.00
Last column: nearest neighbours and their distance in Å.
Positions (direct):
Na: 0.5000 0.5000 0.0000  4 Ag 2.69
Na: 0.2500 0.7500 0.5000  4 Ag 2.69
Ti: 0.3750 0.3628 0.7500  4 Ti 2.62-2.75
Ti: 0.1128 0.6250 0.2500  4 Ti 2.62-2.75
Ti: 0.8750 0.8872 0.7500  4 Ti 2.62-2.75
Ti: 0.6372 0.1250 0.2500  4 Ti 2.62-2.75
Ag: 0.0000 0.0000 0.0000  4 Na 2.69
Ag: 0.7500 0.2500 0.5000  4 Na 2.69

Output
The calculation puts the volume at 157 Å³ per cell. The density of states at the Fermi level is 1.28 states/eV/atom. Its space group is I-42d.

=====

--- x ---
This record from Alexandria describes NaTi2Ag after structural relaxation. The functional is PBE.

Lattice parameters (Å, degrees): 4.7435 4.7435 4.7435 60.00 60.00 60.00
Last column: nearest neighbours and their distance in Å.
Positions (direct):
Ti: 0.2500 0.2500 0.2500  4 Na 2.90, 4 Ag 2.90
Ti: 0.7500 0.7500 0.7500  4 Ag 2.90, 4 Na 2.90
Na: 0.0000 0.0000 0.0000  8 Ti 2.90
Ag: 0.5000 0.5000 0.5000  8 Ti 2.90

Output
The calculation puts the volume at 75 Å³ per cell. The density of states at the Fermi level is 0.89 states/eV/atom. Its space group is Fm-3m.

=====

Stability summary - winner: x; margin: 37 meV per atom.

=====

--- w ---
This record from Alexandria describes NaTiAg2 after structural relaxation. The functional is PBE.

Lattice parameters (Å, degrees): 3.0533 3.0533 8.4280 90.00 90.00 90.00
Last column: nearest neighbours and their distance in Å.
Positions (direct):
Na: 0.5000 0.5000 0.5000  4 Na 3.05, 8 Ag 3.18
Ag: 0.0000 0.0000 0.2235  4 Ti 2.87, 4 Ag 3.05, 4 Na 3.18
Ag: 0.0000 0.0000 0.7765  4 Ti 2.87, 4 Ag 3.05, 4 Na 3.18
Ti: 0.5000 0.5000 0.0000  8 Ag 2.87, 4 Ti 3.05

Output
The calculation puts the volume at 79 Å³ per cell. The density of states at the Fermi level is 0.76 states/eV/atom. Its space group is P4/mmm.

=====

--- x ---
This record from Alexandria describes NaTiAg2 after structural relaxation. The functional is PBE.

Lattice parameters (Å, degrees): 4.7477 4.7477 4.7477 60.00 60.00 60.00
Last column: nearest neighbours and their distance in Å.
Positions (direct):
Ag: 0.7500 0.7500 0.7500  4 Ti 2.91, 4 Na 2.91
Ag: 0.2500 0.2500 0.2500  4 Ti 2.91, 4 Na 2.91
Ti: 0.5000 0.5000 0.5000  8 Ag 2.91
Na: 0.0000 0.0000 0.0000  8 Ag 2.91

Output
The calculation puts the volume at 76 Å³ per cell. The density of states at the Fermi level is 0.73 states/eV/atom. Its space group is Fm-3m.

=====

Stability summary - winner: w; margin: 192 meV per atom.

=====

--- w ---
This record from Alexandria describes NaTiZnAg2 after structural relaxation. The functional is PBE.

Lattice parameters (Å, degrees): 4.9549 4.9025 4.9549 90.00 90.00 90.00
Last column: nearest neighbours and their distance in Å.
Positions (direct):
Ag: 0.5000 0.0000 0.0000  2 Zn 2.48
Ag: 0.0000 0.0000 0.5000  2 Zn 2.48
Na: 0.5000 0.5000 0.5000  8 Ag 3.49, 4 Ti 3.50
Zn: 0.0000 0.0000 0.0000  2 Ti 2.45, 4 Ag 2.48
Ti: 0.0000 0.5000 0.0000  2 Zn 2.45

Output
The calculation puts the volume at 120 Å³ per cell. The density of states at the Fermi level is 1.74 states/eV/atom. Its space group is P4/mmm.

=====

--- x ---
This record from Alexandria describes NaTiZnAg2 after structural relaxation. The functional is PBE.

Lattice parameters (Å, degrees): 5.1585 5.1225 5.1585 90.00 90.00 90.00
Last column: nearest neighbours and their distance in Å.
Positions (direct):
Ag: 0.5000 0.0000 0.0000  2 Ti 2.58
Ag: 0.0000 0.0000 0.5000  2 Ti 2.58
Ti: 0.0000 0.0000 0.0000  2 Zn 2.56, 4 Ag 2.58
Na: 0.5000 0.5000 0.5000  8 Ag 3.63, 4 Zn 3.65
Zn: 0.0000 0.5000 0.0000  2 Ti 2.56

Output
The calculation puts the volume at 136 Å³ per cell. The density of states at the Fermi level is 0.94 states/eV/atom. Its space group is P4/mmm.

=====

Stability summary - winner: w; margin: 127 meV per atom.

=====

--- w ---
This record from Alexandria describes NaTl2Ag2 after structural relaxation. The functional is PBE.

Lattice parameters (Å, degrees): 4.6526 4.6526 7.2011 71.15 71.15 90.00
Last column: nearest neighbours and their distance in Å.
Positions (direct):
Tl: 0.2500 0.7500 0.5000  4 Ag 2.98, 4 Tl 3.29
Tl: 0.7500 0.2500 0.5000  4 Ag 2.98, 4 Tl 3.29
Ag: 0.3953 0.3953 0.2094  1 Ag 2.68, 4 Tl 2.98
Ag: 0.6047 0.6047 0.7906  1 Ag 2.68, 4 Tl 2.98
Na: 0.0000 0.0000 0.0000  8 Ag 3.55, 8 Tl 3.96

Output
The calculation puts the volume at 139 Å³ per cell. The density of states at the Fermi level is 0.48 states/eV/atom. Its space group is I4/mmm.

=====

--- x ---
This record from Alexandria describes NaTl2Ag2 after structural relaxation. The functional is PBE.

Lattice parameters (Å, degrees): 4.0235 4.0235 8.4305 76.19 76.19 90.00
Last column: nearest neighbours and their distance in Å.
Positions (direct):
Tl: 0.6071 0.6071 0.7859  4 Ag 3.03, 4 Na 3.31
Tl: 0.3929 0.3929 0.2141  4 Ag 3.03, 4 Na 3.31
Ag: 0.2500 0.7500 0.5000  4 Ag 2.85, 4 Tl 3.03
Ag: 0.7500 0.2500 0.5000  4 Ag 2.85, 4 Tl 3.03
Na: 0.0000 0.0000 0.0000  8 Tl 3.31

Output
The calculation puts the volume at 128 Å³ per cell. The density of states at the Fermi level is 0.52 states/eV/atom. Its space group is I4/mmm.

=====

Stability summary - winner: x; margin: 19 meV per atom.

=====

--- w ---
This record from Alexandria describes Na3Tl4Ag after structural relaxation. The functional is PBE.

Lattice parameters (Å, degrees): 4.9307 4.9307 9.3614 104.91 104.91 90.45
Last column: nearest neighbours and their distance in Å.
Positions (direct):
Na: 0.0000 0.5000 0.0000  8 Tl 3.18-3.20, 4 Ag 3.47-3.50
Na: 0.7499 0.2499 0.4998  8 Tl 3.39-3.40, 4 Na 3.47-3.50
Na: 0.2501 0.7501 0.5002  8 Tl 3.39-3.40, 4 Na 3.47-3.50
Ag: 0.5000 0.0000 0.0000  8 Tl 3.18-3.20, 4 Na 3.47-3.50
Tl: 0.6157 0.6168 0.2323  2 Ag 3.18-3.20, 6 Na 3.18-3.40, 4 Tl 3.47-3.51
Tl: 0.1166 0.1159 0.2323  2 Ag 3.18-3.20, 6 Na 3.18-3.40, 4 Tl 3.47-3.51
Tl: 0.8834 0.8841 0.7677  2 Ag 3.18-3.20, 6 Na 3.18-3.40, 4 Tl 3.47-3.51
Tl: 0.3843 0.3832 0.7677  2 Ag 3.18-3.20, 6 Na 3.18-3.40, 4 Tl 3.47-3.51

Output
The calculation puts the volume at 212 Å³ per cell. The density of states at the Fermi level is 0.40 states/eV/atom. Its space group is C2/m.

=====

--- x ---
This record from Alexandria describes Na3Tl4Ag after structural relaxation. The functional is PBE.

Lattice parameters (Å, degrees): 4.8028 7.9523 7.7824 120.72 107.97 90.00
Last column: nearest neighbours and their distance in Å.
Positions (direct):
Ag: 0.5000 0.0000 0.0000  4 Tl 2.94, 4 Na 2.96
Na: 0.8608 0.8608 0.7216  2 Ag 2.96, 6 Tl 3.15-3.32
Na: 0.1392 0.1392 0.2784  2 Ag 2.96, 6 Tl 3.15-3.32
Na: 0.0000 0.5000 0.0000  8 Tl 3.47
Tl: 0.6480 0.4358 0.2961  1 Ag 2.94, 1 Na 3.15
Tl: 0.3520 0.1397 0.7039  1 Ag 2.94, 1 Na 3.15
Tl: 0.6480 0.8603 0.2961  1 Ag 2.94, 1 Na 3.15
Tl: 0.3520 0.5642 0.7039  1 Ag 2.94, 1 Na 3.15

Output
The calculation puts the volume at 238 Å³ per cell. The density of states at the Fermi level is 0.56 states/eV/atom. Its space group is Immm.

=====

Stability summary - winner: w; margin: 77 meV per atom.